# HfBe2AlNi, optimized geometry, DFT PBE-GGA
# DFT formation energy: 1042 meV/atom
data_HfBe2AlNi
_cell_length_a 4.1382
_cell_length_b 4.1382
_cell_length_c 5.0336
_cell_angle_alpha 90.00
_cell_angle_beta 90.00
_cell_angle_gamma 90.00
_space_group_name_H-M_alt 'P 4/m m m'
_space_group_IT_number 123
_space_group_name_Hall '-P 4 2'
loop_
_atom_site_label
_atom_site_type_symbol
_atom_site_fract_x
_atom_site_fract_y
_atom_site_fract_z
_atom_site_occupancy
Hf1 Hf 0.0000 0.0000 0.0000 1
Be1 Be 0.0000 0.5000 0.5000 1
Al1 Al 0.0000 0.0000 0.5000 1
Ni1 Ni 0.5000 0.5000 0.0000 1

***

# HfBeAlNi, optimized geometry, DFT PBE-GGA
# DFT formation energy: -403 meV/atom
data_HfBeAlNi
_cell_length_a 6.0301
_cell_length_b 6.0301
_cell_length_c 6.0301
_cell_angle_alpha 90.00
_cell_angle_beta 90.00
_cell_angle_gamma 90.00
_space_group_name_H-M_alt 'F -4 3 m'
_space_group_IT_number 216
_space_group_name_Hall 'F -4 2 3'
loop_
_atom_site_label
_atom_site_type_symbol
_atom_site_fract_x
_atom_site_fract_y
_atom_site_fract_z
_atom_site_occupancy
Hf1 Hf 0.0000 0.0000 0.0000 1
Be1 Be 0.2500 0.2500 0.7500 1
Al1 Al 0.0000 0.0000 0.5000 1
Ni1 Ni 0.2500 0.2500 0.2500 1

***

# Hf2Be2AlNi5, optimized geometry, DFT PBE-GGA
# DFT formation energy: -515 meV/atom
data_Hf2Be2AlNi5
_cell_length_a 8.7099
_cell_length_b 8.7099
_cell_length_c 3.2767
_cell_angle_alpha 90.00
_cell_angle_beta 90.00
_cell_angle_gamma 90.00
_space_group_name_H-M_alt 'P 4/m b m'
_space_group_IT_number 127
_space_group_name_Hall '-P 4 2ab'
loop_
_atom_site_label
_atom_site_type_symbol
_atom_site_fract_x
_atom_site_fract_y
_atom_site_fract_z
_atom_site_occupancy
Hf1 Hf 0.1796 0.3204 0.0000 1
Be1 Be 0.1145 0.6145 0.0000 1
Al1 Al 0.0000 0.0000 0.0000 1
Ni1 Ni 0.0000 0.5000 0.5000 1
Ni2 Ni 0.0659 0.7835 0.5000 1

***

# HfBeAl2Ni4, optimized geometry, DFT PBE-GGA
# DFT formation energy: -517 meV/atom
data_HfBeAl2Ni4
_cell_length_a 4.0021
_cell_length_b 4.0021
_cell_length_c 21.8278
_cell_angle_alpha 90.00
_cell_angle_beta 90.00
_cell_angle_gamma 120.00
_space_group_name_H-M_alt 'R -3 m'
_space_group_IT_number 166
_space_group_name_Hall '-R 3 2"'
loop_
_atom_site_label
_atom_site_type_symbol
_atom_site_fract_x
_atom_site_fract_y
_atom_site_fract_z
_atom_site_occupancy
Hf1 Hf 0.0000 0.0000 0.0000 1
Be1 Be 0.0000 0.0000 0.5000 1
Al1 Al 0.0000 0.0000 0.2436 1
Ni1 Ni 0.0000 0.0000 0.1310 1
Ni2 Ni 0.0000 0.0000 0.3995 1

***

# Hf2Be2AlRh5, optimized geometry, DFT PBE-GGA
# DFT formation energy: -943 meV/atom
data_Hf2Be2AlRh5
_cell_length_a 9.3265
_cell_length_b 9.3265
_cell_length_c 3.1997
_cell_angle_alpha 90.00
_cell_angle_beta 90.00
_cell_angle_gamma 90.00
_space_group_name_H-M_alt 'P 4/m b m'
_space_group_IT_number 127
_space_group_name_Hall '-P 4 2ab'
loop_
_atom_site_label
_atom_site_type_symbol
_atom_site_fract_x
_atom_site_fract_y
_atom_site_fract_z
_atom_site_occupancy
Hf1 Hf 0.1753 0.3247 0.0000 1
Be1 Be 0.1224 0.6224 0.0000 1
Al1 Al 0.0000 0.0000 0.0000 1
Rh1 Rh 0.0000 0.5000 0.5000 1
Rh2 Rh 0.0704 0.7905 0.5000 1

***

# Hf2Be2AlRu5, optimized geometry, DFT PBE-GGA
# DFT formation energy: -536 meV/atom
data_Hf2Be2AlRu5
_cell_length_a 9.3458
_cell_length_b 9.3458
_cell_length_c 3.1901
_cell_angle_alpha 90.00
_cell_angle_beta 90.00
_cell_angle_gamma 90.00
_space_group_name_H-M_alt 'P 4/m b m'
_space_group_IT_number 127
_space_group_name_Hall '-P 4 2ab'
loop_
_atom_site_label
_atom_site_type_symbol
_atom_site_fract_x
_atom_site_fract_y
_atom_site_fract_z
_atom_site_occupancy
Hf1 Hf 0.1741 0.3259 0.0000 1
Be1 Be 0.1252 0.6252 0.0000 1
Al1 Al 0.0000 0.0000 0.0000 1
Ru1 Ru 0.0000 0.5000 0.5000 1
Ru2 Ru 0.0712 0.7926 0.5000 1

***

# HfBeAl2Sb, optimized geometry, DFT PBE-GGA
# ΔE_f (raw): 0.10 eV per atom
data_HfBeAl2Sb
_cell_length_a 4.3253
_cell_length_b 4.3253
_cell_length_c 4.9856
_cell_angle_alpha 90.00
_cell_angle_beta 90.00
_cell_angle_gamma 90.00
_space_group_name_H-M_alt 'P 4/m m m'
_space_group_IT_number 123
_space_group_name_Hall '-P 4 2'
loop_
_atom_site_label
_atom_site_type_symbol
_atom_site_fract_x
_atom_site_fract_y
_atom_site_fract_z
_atom_site_occupancy
Hf1 Hf 0.0000 0.0000 0.0000 1
Be1 Be 0.0000 0.0000 0.5000 1
Al1 Al 0.0000 0.5000 0.5000 1
Sb1 Sb 0.5000 0.5000 0.0000 1

***

# BeAl4Hg, optimized geometry, DFT PBE-GGA
# DFT formation energy: 469 meV/atom
data_BeAl4Hg
_cell_length_a 7.5699
_cell_length_b 7.5699
_cell_length_c 7.5699
_cell_angle_alpha 90.00
_cell_angle_beta 90.00
_cell_angle_gamma 90.00
_space_group_name_H-M_alt 'F -4 3 m'
_space_group_IT_number 216
_space_group_name_Hall 'F -4 2 3'
loop_
_atom_site_label
_atom_site_type_symbol
_atom_site_fract_x
_atom_site_fract_y
_atom_site_fract_z
_atom_site_occupancy
Be1 Be 0.0000 0.0000 0.0000 1
Al1 Al 0.1258 0.1258 0.3742 1
Hg1 Hg 0.2500 0.2500 0.7500 1

***

# Be4AlHg, optimized geometry, DFT PBE-GGA
# DFT formation energy: 293 meV/atom
data_Be4AlHg
_cell_length_a 6.5502
_cell_length_b 6.5502
_cell_length_c 6.5502
_cell_angle_alpha 90.00
_cell_angle_beta 90.00
_cell_angle_gamma 90.00
_space_group_name_H-M_alt 'F -4 3 m'
_space_group_IT_number 216
_space_group_name_Hall 'F -4 2 3'
loop_
_atom_site_label
_atom_site_type_symbol
_atom_site_fract_x
_atom_site_fract_y
_atom_site_fract_z
_atom_site_occupancy
Be1 Be 0.1221 0.1221 0.3779 1
Al1 Al 0.2500 0.2500 0.7500 1
Hg1 Hg 0.0000 0.0000 0.0000 1

***

# BeAl3Hg, optimized geometry, DFT PBE-GGA
# DFT formation energy: 359 meV/atom
data_BeAl3Hg
_cell_length_a 4.5290
_cell_length_b 4.5290
_cell_length_c 4.5290
_cell_angle_alpha 90.00
_cell_angle_beta 90.00
_cell_angle_gamma 90.00
_space_group_name_H-M_alt 'P m -3 m'
_space_group_IT_number 221
_space_group_name_Hall '-P 4 2 3'
loop_
_atom_site_label
_atom_site_type_symbol
_atom_site_fract_x
_atom_site_fract_y
_atom_site_fract_z
_atom_site_occupancy
Be1 Be 0.0000 0.0000 0.0000 1
Al1 Al 0.0000 0.0000 0.5000 1
Hg1 Hg 0.5000 0.5000 0.5000 1

***

# BeAl3Hg, optimized geometry, DFT PBE-GGA
# DFT formation energy: 1136 meV/atom
data_BeAl3Hg
_cell_length_a 5.0349
_cell_length_b 5.0349
_cell_length_c 5.0349
_cell_angle_alpha 90.00
_cell_angle_beta 90.00
_cell_angle_gamma 90.00
_space_group_name_H-M_alt 'P m -3 m'
_space_group_IT_number 221
_space_group_name_Hall '-P 4 2 3'
loop_
_atom_site_label
_atom_site_type_symbol
_atom_site_fract_x
_atom_site_fract_y
_atom_site_fract_z
_atom_site_occupancy
Be1 Be 0.0000 0.0000 0.0000 1
Al1 Al 0.0000 0.5000 0.5000 1
Hg1 Hg 0.5000 0.5000 0.5000 1

***

# Be3AlHg, optimized geometry, DFT PBE-GGA
# DFT formation energy: 978 meV/atom
data_Be3AlHg
_cell_length_a 4.4802
_cell_length_b 4.4802
_cell_length_c 4.4802
_cell_angle_alpha 90.00
_cell_angle_beta 90.00
_cell_angle_gamma 90.00
_space_group_name_H-M_alt 'P m -3 m'
_space_group_IT_number 221
_space_group_name_Hall '-P 4 2 3'
loop_
_atom_site_label
_atom_site_type_symbol
_atom_site_fract_x
_atom_site_fract_y
_atom_site_fract_z
_atom_site_occupancy
Be1 Be 0.0000 0.0000 0.5000 1
Al1 Al 0.5000 0.5000 0.5000 1
Hg1 Hg 0.0000 0.0000 0.0000 1

***

Ρ readings, ordered: 5.4; 8.3; 9.3; 7.8; 10.9; 10.8; 6.5; 4.9; 6.2; 5.2; 3.8; 4.7 g/cm3
Energy readings, ordered: -4.344; -6.204; -6.516; -6.053; -7.728; -8.284; -4.959; -2.697; -2.865; -2.692; -1.916; -2.066 eV/atom